# 1
Density functional theory data (PBE) for crystalline Ti2VSbMo at its relaxed geometry.

total DFT energy (no corrections)	-35.4	eV per cell
crystal system	tetragonal
space group	P4/mmm (123)
formation energy without anion corrections	4.48	eV per formula unit

```
Ti2VSbMo
1.0
4.437 0.000 0.000
0.000 4.437 0.000
0.000 0.000 4.946
Ti V Sb Mo
2 1 1 1
Cartesian
0.000 2.219 0.000
2.219 0.000 0.000
0.000 0.000 0.000
0.000 0.000 2.473
2.219 2.219 2.473
```

=====

# 2
Density functional theory data (PBE) for crystalline TiSbMoW2 at its relaxed geometry.

total DFT energy (no corrections)	-39.9	eV per cell
crystal system	tetragonal
space group	P4/mmm (123)
formation energy without anion corrections	8.82	eV per formula unit

```
TiSbMoW2
1.0
4.766 0.000 0.000
0.000 4.766 0.000
0.000 0.000 5.002
Ti Sb Mo W
1 1 1 2
Cartesian
0.000 0.000 0.000
2.383 2.383 0.000
2.383 2.383 2.501
0.000 2.383 2.501
2.383 0.000 2.501
```

=====

# 3
Density functional theory data (PBE) for crystalline TlSbMo2 at its relaxed geometry.

relative energy among the computed polymorphs	1.98	eV/f.u.
total DFT energy (no corrections)	-25.1	eV per cell
crystal system	tetragonal
space group	I-4m2 (119)
formation energy without anion corrections	3.00	eV per formula unit

```
TlSbMo2
1.0
-2.064 2.064 4.487
2.064 -2.064 4.487
2.064 2.064 -4.487
Tl Sb Mo
1 1 2
Cartesian
0.000 0.000 0.000
0.000 2.064 2.243
2.064 0.000 2.243
0.000 0.000 4.487
```

=====

# 4
Density functional theory data (PBE) for crystalline TlSbMo at its relaxed geometry.

relative energy among the computed polymorphs	0.07	eV/f.u.
total DFT energy (no corrections)	-16.1	eV per cell
crystal system	tetragonal
space group	I4mm (107)
formation energy without anion corrections	1.25	eV per formula unit

```
TlSbMo
1.0
-1.787 1.787 4.984
1.787 -1.787 4.984
1.787 1.787 -4.984
Tl Sb Mo
1 1 1
Cartesian
0.000 0.000 0.000
0.000 0.000 3.041
0.000 0.000 6.788
```

=====

# 5
Density functional theory data (PBE) for crystalline TlSbMo at its relaxed geometry.

relative energy among the computed polymorphs	0.82	eV/f.u.
total DFT energy (no corrections)	-15.3	eV per cell
crystal system	hexagonal
space group	P-6m2 (187)
formation energy without anion corrections	2.00	eV per formula unit

```
TlSbMo
1.0
5.012 0.000 0.000
-2.506 4.341 0.000
0.000 0.000 3.010
Tl Sb Mo
1 1 1
Cartesian
0.000 0.000 0.000
0.000 2.894 1.505
2.506 1.447 1.505
```

=====

# 6
Density functional theory data (PBE) for crystalline TlSbMo2 at its relaxed geometry.

relative energy among the computed polymorphs	1.58	eV/f.u.
total DFT energy (no corrections)	-25.5	eV per cell
crystal system	cubic
space group	Fm-3m (225)
formation energy without anion corrections	2.60	eV per formula unit

```
TlSbMo2
1.0
0.000 3.343 3.343
3.343 0.000 3.343
3.343 3.343 0.000
Tl Sb Mo
1 1 2
Cartesian
0.000 0.000 0.000
3.343 3.343 3.343
1.671 1.671 1.671
5.014 5.014 5.014
```

=====

# 7
Density functional theory data (PBE) for crystalline TlSbMo2 at its relaxed geometry.

relative energy among the computed polymorphs	0.74	eV/f.u.
total DFT energy (no corrections)	-26.4	eV per cell
crystal system	orthorhombic
space group	Cmm2 (35)
formation energy without anion corrections	1.77	eV per formula unit

```
TlSbMo2
1.0
1.681 -2.489 0.000
1.681 2.489 0.000
0.000 0.000 10.628
Tl Sb Mo
1 1 2
Cartesian
0.000 0.000 0.000
1.681 0.000 3.687
0.000 0.000 6.054
1.681 0.000 7.964
```

=====

# 8
Density functional theory data (PBE) for crystalline Tl3SbMo at its relaxed geometry.

relative energy among the computed polymorphs	2.38	eV/f.u.
total DFT energy (no corrections)	-15.6	eV per cell
crystal system	cubic
space group	Pm-3m (221)
formation energy without anion corrections	6.44	eV per formula unit

```
Tl3SbMo
1.0
5.801 0.000 0.000
0.000 5.801 0.000
0.000 0.000 5.801
Tl Sb Mo
3 1 1
Cartesian
0.000 0.000 2.901
0.000 2.901 0.000
2.901 0.000 0.000
0.000 0.000 0.000
2.901 2.901 2.901
```

=====

# 9
Density functional theory data (PBE) for crystalline TlSbMo2 at its relaxed geometry.

relative energy among the computed polymorphs	1.41	eV/f.u.
total DFT energy (no corrections)	-25.7	eV per cell
crystal system	trigonal
space group	R-3m (166)
formation energy without anion corrections	2.43	eV per formula unit

```
TlSbMo2
1.0
1.583 0.914 8.872
-1.583 0.914 8.872
0.000 -1.828 8.872
Tl Sb Mo
1 1 2
Cartesian
0.000 0.000 0.000
0.000 0.000 13.309
0.000 0.000 6.544
0.000 0.000 20.074
```

=====

# 10
Density functional theory data (PBE) for crystalline TlSbMo at its relaxed geometry.

relative energy among the computed polymorphs	0.00	eV/f.u.
total DFT energy (no corrections)	-16.1	eV per cell
crystal system	trigonal
space group	P3m1 (156)
formation energy without anion corrections	1.18	eV per formula unit

```
TlSbMo
1.0
3.351 0.000 0.000
-1.675 2.902 0.000
0.000 0.000 7.021
Tl Sb Mo
1 1 1
Cartesian
0.000 0.000 0.000
1.675 0.967 4.166
0.000 1.934 2.263
```

=====

# 11
Density functional theory data (PBE) for crystalline TlSbMo at its relaxed geometry.

relative energy among the computed polymorphs	0.39	eV/f.u.
total DFT energy (no corrections)	-15.7	eV per cell
crystal system	orthorhombic
space group	Fmm2 (42)
formation energy without anion corrections	1.57	eV per formula unit

```
TlSbMo
1.0
0.000 2.483 8.138
1.832 0.000 8.138
1.832 2.483 0.000
Tl Sb Mo
1 1 1
Cartesian
0.000 0.000 0.000
1.832 2.483 4.459
1.832 2.483 10.588
```

=====

# 12
Density functional theory data (PBE) for crystalline Tl4SbMo at its relaxed geometry.

total DFT energy (no corrections)	-19.4	eV per cell
crystal system	cubic
space group	F-43m (216)
formation energy without anion corrections	4.98	eV per formula unit

```
Tl4SbMo
1.0
0.000 4.467 4.467
4.467 0.000 4.467
4.467 4.467 0.000
Tl Sb Mo
4 1 1
Cartesian
1.116 1.116 1.116
3.351 3.351 1.116
3.351 1.116 3.351
1.116 3.351 3.351
4.467 4.467 4.467
6.700 6.700 6.700
```

=====

# 13
Density functional theory data (PBE) for crystalline TlSbMo2 at its relaxed geometry.

relative energy among the computed polymorphs	1.02	eV/f.u.
total DFT energy (no corrections)	-26.1	eV per cell
crystal system	monoclinic
space group	Cm (8)
formation energy without anion corrections	2.05	eV per formula unit

```
TlSbMo2
1.0
5.118 -1.641 0.000
5.118 1.641 0.000
-1.924 0.000 4.789
Tl Sb Mo
1 1 2
Cartesian
0.000 0.000 0.000
7.357 0.000 1.723
0.809 0.000 3.988
4.628 0.000 2.555
```

=====

# 14
Density functional theory data (PBE) for crystalline TlSbMo2 at its relaxed geometry.

relative energy among the computed polymorphs	2.05	eV/f.u.
total DFT energy (no corrections)	-25.1	eV per cell
crystal system	cubic
space group	F-43m (216)
formation energy without anion corrections	3.08	eV per formula unit

```
TlSbMo2
1.0
0.000 3.407 3.407
3.407 0.000 3.407
3.407 3.407 0.000
Tl Sb Mo
1 1 2
Cartesian
0.000 0.000 0.000
5.110 5.110 5.110
1.703 1.703 1.703
3.407 3.407 3.407
```

=====

# 15
Density functional theory data (PBE) for crystalline TlSbMo2 at its relaxed geometry.

relative energy among the computed polymorphs	1.96	eV/f.u.
total DFT energy (no corrections)	-25.2	eV per cell
crystal system	orthorhombic
space group	Immm (71)
formation energy without anion corrections	2.98	eV per formula unit

```
TlSbMo2
1.0
-1.697 2.559 4.497
1.697 -2.559 4.497
1.697 2.559 -4.497
Tl Sb Mo
1 1 2
Cartesian
0.000 0.000 0.000
0.000 0.000 4.497
1.697 0.000 2.348
0.000 2.559 2.149
```

=====

# 16
Density functional theory data (PBE) for crystalline TlSbMo2 at its relaxed geometry.

relative energy among the computed polymorphs	1.93	eV/f.u.
total DFT energy (no corrections)	-25.2	eV per cell
crystal system	orthorhombic
space group	Cmmm (65)
formation energy without anion corrections	2.95	eV per formula unit

```
TlSbMo2
1.0
1.689 -2.581 0.000
1.689 2.581 0.000
0.000 0.000 8.998
Tl Sb Mo
1 1 2
Cartesian
0.000 0.000 0.000
0.000 0.000 4.499
1.689 0.000 2.370
1.689 0.000 6.628
```

=====

# 17
Density functional theory data (PBE) for crystalline Tl3SbMo at its relaxed geometry.

relative energy among the computed polymorphs	0.00	eV/f.u.
total DFT energy (no corrections)	-18.0	eV per cell
crystal system	cubic
space group	Pm-3m (221)
formation energy without anion corrections	4.06	eV per formula unit

```
Tl3SbMo
1.0
5.464 0.000 0.000
0.000 5.464 0.000
0.000 0.000 5.464
Tl Sb Mo
3 1 1
Cartesian
0.000 0.000 2.732
0.000 2.732 0.000
2.732 0.000 0.000
2.732 2.732 2.732
0.000 0.000 0.000
```

=====

# 18
Density functional theory data (PBE) for crystalline TlSbMo2 at its relaxed geometry.

relative energy among the computed polymorphs	1.35	eV/f.u.
total DFT energy (no corrections)	-25.8	eV per cell
crystal system	tetragonal
space group	P4/mmm (123)
formation energy without anion corrections	2.37	eV per formula unit

```
TlSbMo2
1.0
3.332 0.000 0.000
0.000 3.332 0.000
0.000 0.000 6.865
Tl Sb Mo
1 1 2
Cartesian
0.000 0.000 0.000
0.000 0.000 3.433
1.666 1.666 1.936
1.666 1.666 4.929
```

=====

# 19
Density functional theory data (PBE) for crystalline TlSbMo2 at its relaxed geometry.

relative energy among the computed polymorphs	0.81	eV/f.u.
total DFT energy (no corrections)	-26.3	eV per cell
crystal system	orthorhombic
space group	Amm2 (38)
formation energy without anion corrections	1.84	eV per formula unit

```
TlSbMo2
1.0
4.443 0.000 0.000
0.000 1.740 5.230
0.000 -1.740 5.230
Tl Sb Mo
1 1 2
Cartesian
0.000 0.000 0.000
2.221 0.000 3.230
0.000 0.000 7.586
2.221 0.000 6.213
```

=====

# 20
Density functional theory data (PBE) for crystalline TlSbMo2 at its relaxed geometry.

relative energy among the computed polymorphs	0.50	eV/f.u.
total DFT energy (no corrections)	-26.6	eV per cell
crystal system	trigonal
space group	R3m (160)
formation energy without anion corrections	1.53	eV per formula unit

```
TlSbMo2
1.0
1.634 0.943 9.164
-1.634 0.943 9.164
0.000 -1.886 9.164
Tl Sb Mo
1 1 2
Cartesian
0.000 0.000 0.000
0.000 0.000 6.289
0.000 0.000 13.312
0.000 0.000 20.718
```

=====

# 21
Density functional theory data (PBE) for crystalline TlSbMo4 at its relaxed geometry.

total DFT energy (no corrections)	-46.3	eV per cell
crystal system	cubic
space group	F-43m (216)
formation energy without anion corrections	3.48	eV per formula unit

```
TlSbMo4
1.0
0.000 3.825 3.825
3.825 0.000 3.825
3.825 3.825 0.000
Tl Sb Mo
1 1 4
Cartesian
0.000 0.000 0.000
1.913 1.913 1.913
4.788 2.863 2.863
2.863 4.788 2.863
2.863 2.863 4.788
4.788 4.788 4.788
```

=====

# 22
Density functional theory data (PBE) for crystalline TlSbMo2 at its relaxed geometry.

relative energy among the computed polymorphs	1.56	eV/f.u.
total DFT energy (no corrections)	-25.6	eV per cell
crystal system	monoclinic
space group	P2/m (10)
formation energy without anion corrections	2.58	eV per formula unit

```
TlSbMo2
1.0
3.329 0.000 0.000
0.000 4.447 0.000
-0.573 0.000 5.699
Tl Sb Mo
1 1 2
Cartesian
0.000 0.000 0.000
1.378 0.000 2.850
0.233 2.223 3.934
2.523 2.223 1.765
```

=====

# 23
Density functional theory data (PBE) for crystalline TlSbMo2 at its relaxed geometry.

relative energy among the computed polymorphs	2.06	eV/f.u.
total DFT energy (no corrections)	-25.1	eV per cell
crystal system	orthorhombic
space group	Pmmm (47)
formation energy without anion corrections	3.09	eV per formula unit

```
TlSbMo2
1.0
3.420 0.000 0.000
0.000 4.513 0.000
0.000 0.000 5.052
Tl Sb Mo
1 1 2
Cartesian
0.000 0.000 0.000
1.710 0.000 2.526
0.000 2.256 2.526
1.710 2.256 0.000
```

=====

# 24
Density functional theory data (PBE) for crystalline TlSbMo2 at its relaxed geometry.

relative energy among the computed polymorphs	3.18	eV/f.u.
total DFT energy (no corrections)	-47.9	eV per cell
crystal system	tetragonal
space group	I-42d (122)
formation energy without anion corrections	4.21	eV per formula unit

```
TlSbMo2
1.0
-3.821 3.821 2.905
3.821 -3.821 2.905
3.821 3.821 -2.905
Tl Sb Mo
2 2 4
Cartesian
0.000 0.000 0.000
0.000 3.821 1.453
3.821 0.000 1.453
0.000 0.000 2.905
1.911 -1.767 2.179
2.054 1.911 0.726
1.911 5.589 -0.726
1.767 1.911 3.632
```

=====

# 25
Density functional theory data (PBE) for crystalline TlSbMo at its relaxed geometry.

relative energy among the computed polymorphs	0.87	eV/f.u.
total DFT energy (no corrections)	-15.3	eV per cell
crystal system	cubic
space group	F-43m (216)
formation energy without anion corrections	2.05	eV per formula unit

```
TlSbMo
1.0
0.000 3.325 3.325
3.325 0.000 3.325
3.325 3.325 0.000
Tl Sb Mo
1 1 1
Cartesian
0.000 0.000 0.000
3.325 3.325 3.325
1.663 1.663 1.663
```

=====

# 26
Density functional theory data (PBE) for crystalline TlSbMo2 at its relaxed geometry.

relative energy among the computed polymorphs	1.51	eV/f.u.
total DFT energy (no corrections)	-25.6	eV per cell
crystal system	monoclinic
space group	C2/m (12)
formation energy without anion corrections	2.53	eV per formula unit

```
TlSbMo2
1.0
4.456 -1.596 0.000
4.456 1.596 0.000
-1.128 0.000 5.483
Tl Sb Mo
1 1 2
Cartesian
0.000 0.000 0.000
3.892 0.000 2.741
1.367 0.000 3.965
6.416 0.000 1.518
```

=====

# 27
Density functional theory data (PBE) for crystalline TlSbMo2 at its relaxed geometry.

relative energy among the computed polymorphs	0.00	eV/f.u.
total DFT energy (no corrections)	-27.1	eV per cell
crystal system	tetragonal
space group	P4mm (99)
formation energy without anion corrections	1.02	eV per formula unit

```
TlSbMo2
1.0
3.239 0.000 0.000
0.000 3.239 0.000
0.000 0.000 8.392
Tl Sb Mo
1 1 2
Cartesian
0.000 0.000 0.000
1.619 1.619 5.202
0.000 0.000 3.362
1.619 1.619 2.034
```

=====

# 28
Density functional theory data (PBE) for crystalline Tm8Sb2Mo at its relaxed geometry.

total DFT energy (no corrections)	-57.9	eV per cell
crystal system	monoclinic
space group	C2/m (12)
formation energy without anion corrections	-3.08	eV per formula unit

```
Tm8Sb2Mo
1.0
8.904 -2.284 0.000
8.904 2.284 0.000
-2.738 0.000 7.333
Tm Sb Mo
8 2 1
Cartesian
-0.242 0.000 2.305
0.978 0.000 5.583
4.323 0.000 4.111
7.269 0.000 0.393
7.801 0.000 6.940
10.747 0.000 3.222
14.093 0.000 1.751
15.312 0.000 5.029
3.024 0.000 1.285
12.047 0.000 6.049
7.535 0.000 3.667
```

=====

# 29
Density functional theory data (PBE) for crystalline V4SbMo at its relaxed geometry.

relative energy among the computed polymorphs	0.31	eV/f.u.
total DFT energy (no corrections)	-51.3	eV per cell
crystal system	cubic
space group	F-43m (216)
formation energy without anion corrections	0.08	eV per formula unit

```
V4SbMo
1.0
0.000 3.537 3.537
3.537 0.000 3.537
3.537 3.537 0.000
V Sb Mo
4 1 1
Cartesian
0.883 0.883 0.883
2.654 2.654 0.883
2.654 0.883 2.654
0.883 2.654 2.654
5.306 5.306 5.306
3.537 3.537 3.537
```

=====

# 30
Density functional theory data (PBE) for crystalline VSbMo at its relaxed geometry.

relative energy among the computed polymorphs	0.23	eV/f.u.
total DFT energy (no corrections)	-45.8	eV per cell
crystal system	monoclinic
space group	C2/m (12)
formation energy without anion corrections	1.17	eV per formula unit

```
VSbMo
1.0
4.325 -1.431 0.000
4.325 1.431 0.000
-3.782 0.000 10.168
V Sb Mo
2 2 2
Cartesian
-0.635 0.000 4.501
5.503 0.000 5.667
-0.367 0.000 1.639
5.235 0.000 8.530
-1.027 0.000 6.951
5.895 0.000 3.217
```